Below is a relaxed structure of CaIn2Se, with properties calculated at the GGA-PBEsol level.

- DFT total energy: -3.703 eV/atom
- Formation energy from raw total energies: -2.863 eV/f.u.
- DOS at the Fermi energy: 0.28 states/eV/atom

abc: 4.175 4.175 6.497
angles: 108.74 108.74 90.00
Fractional positions:
Ca 0.000 0.000 0.000
In 0.250 0.750 0.500
In 0.750 0.250 0.500
Se 0.500 0.500 0.000


Below is a relaxed structure of Ca2InSe, with properties calculated at the GGA-PBEsol level.

- DFT total energy: -3.835 eV/atom
- Relative energy among the computed polymorphs: 37 meV/atom
- Formation energy from raw total energies: -4.239 eV/f.u.
- DOS at the Fermi energy: 0.38 states/eV/atom

abc: 3.532 3.532 8.181
angles: 90.00 90.00 90.00
Fractional positions:
Se 0.500 0.500 0.000
In 0.500 0.500 0.500
Ca 0.000 0.000 0.214
Ca 0.000 0.000 0.786


Below is a relaxed structure of CaIn2Se, with properties calculated at the GGA-PBEsol level.

- DFT total energy: -3.706 eV/atom
- Formation energy from raw total energies: -2.877 eV/f.u.
- DOS at the Fermi energy: 0.29 states/eV/atom

abc: 3.952 3.952 7.098
angles: 90.00 90.00 90.00
Fractional positions:
In 0.000 0.000 0.008
In 0.500 0.500 0.209
Ca 0.500 0.500 0.673
Se 0.000 0.000 0.610


Below is a relaxed structure of CaInSe, with properties calculated at the GGA-PBEsol level.

- DFT total energy: -3.789 eV/atom
- Formation energy from raw total energies: -2.400 eV/f.u.
- DOS at the Fermi energy: 0.50 states/eV/atom

abc: 3.968 3.968 6.064
angles: 90.00 90.00 120.00
Fractional positions:
Ca 0.000 0.000 0.043
Se 0.667 0.333 0.319
In 0.333 0.667 0.638


Below is a relaxed structure of CaIn2Si, with properties calculated at the GGA-PBEsol level.

- DFT total energy: -3.560 eV/atom
- Formation energy from raw total energies: -0.394 eV/f.u.
- DOS at the Fermi energy: 0.52 states/eV/atom

abc: 3.421 5.034 5.504
angles: 90.00 96.71 90.00
Fractional positions:
Si 0.500 0.500 0.000
Ca 0.000 0.500 0.500
In 0.352 0.000 0.234
In 0.648 0.000 0.766


Below is a relaxed structure of Ca2InSn, with properties calculated at the GGA-PBEsol level.

- Formation enthalpy at 0 K: -579 meV/atom
- DFT total energy: -3.456 eV/atom
- DOS at the Fermi energy: 0.57 states/eV/atom

abc: 5.356 5.356 5.356
angles: 60.00 60.00 60.00
Fractional positions:
Ca 0.750 0.750 0.750
Ca 0.250 0.250 0.250
In 0.000 0.000 0.000
Sn 0.500 0.500 0.500


Below is a relaxed structure of CaInSn3, with properties calculated at the GGA-PBEsol level.

- Formation enthalpy at 0 K: 271 meV/atom
- DFT total energy: -3.308 eV/atom
- Relative energy among the computed polymorphs: 0 meV/atom
- DOS at the Fermi energy: 0.64 states/eV/atom

abc: 5.524 5.524 5.524
angles: 90.00 90.00 90.00
Fractional positions:
In 0.000 0.000 0.000
Ca 0.500 0.500 0.500
Sn 0.500 0.000 0.000
Sn 0.000 0.500 0.000
Sn 0.000 0.000 0.500


Below is a relaxed structure of CaInSn3, with properties calculated at the GGA-PBEsol level.

- Formation enthalpy at 0 K: 612 meV/atom
- DFT total energy: -2.967 eV/atom
- Relative energy among the computed polymorphs: 341 meV/atom
- DOS at the Fermi energy: 0.90 states/eV/atom

abc: 5.642 5.642 5.642
angles: 90.00 90.00 90.00
Fractional positions:
In 0.500 0.500 0.500
Sn 0.500 0.000 0.000
Sn 0.000 0.000 0.500
Sn 0.000 0.500 0.000
Ca 0.000 0.000 0.000


Below is a relaxed structure of Ca2In2Sn, with properties calculated at the GGA-PBEsol level.

- Formation enthalpy at 0 K: -46 meV/atom
- DFT total energy: -2.944 eV/atom
- DOS at the Fermi energy: 0.56 states/eV/atom

abc: 4.859 4.859 7.398
angles: 109.17 109.17 90.00
Fractional positions:
In 0.400 0.400 0.800
In 0.600 0.600 0.200
Ca 0.750 0.250 0.500
Ca 0.250 0.750 0.500
Sn 0.000 0.000 0.000


Below is a relaxed structure of CaTaIn2Sn, with properties calculated at the GGA-PBEsol level.

- Formation enthalpy at 0 K: 780 meV/atom
- DFT total energy: -4.202 eV/atom
- DOS at the Fermi energy: 0.72 states/eV/atom

abc: 5.362 5.343 5.343
angles: 90.00 90.00 90.00
Fractional positions:
Ta 0.000 0.000 0.000
Ca 0.500 0.000 0.000
In 0.000 0.000 0.500
In 0.000 0.500 0.000
Sn 0.500 0.500 0.500


Below is a relaxed structure of Sr2CaIn, with properties calculated at the GGA-PBEsol level.

- Formation enthalpy at 0 K: -200 meV/atom
- DFT total energy: -2.399 eV/atom
- DOS at the Fermi energy: 1.08 states/eV/atom

abc: 4.616 5.599 5.599
angles: 90.07 90.00 90.00
Fractional positions:
Sr 0.000 0.000 0.500
Sr 0.000 0.500 0.000
Ca 0.500 0.000 0.000
In 0.500 0.500 0.500


Below is a relaxed structure of SrCa2In, with properties calculated at the GGA-PBEsol level.

- Formation enthalpy at 0 K: -211 meV/atom
- DFT total energy: -2.483 eV/atom
- DOS at the Fermi energy: 1.27 states/eV/atom

abc: 4.636 5.370 5.424
angles: 90.00 90.00 90.00
Fractional positions:
Ca 0.500 0.500 0.000
Ca 0.000 0.000 0.000
Sr 0.000 0.500 0.500
In 0.500 0.000 0.500


Below is a relaxed structure of SrCa2In, with properties calculated at the GGA-PBEsol level.

- Formation enthalpy at 0 K: -245 meV/atom
- DFT total energy: -2.518 eV/atom
- DOS at the Fermi energy: 0.75 states/eV/atom

abc: 3.891 3.891 9.610
angles: 90.00 90.00 90.00
Fractional positions:
In 0.500 0.500 0.483
Ca 0.000 0.000 0.300
Ca 0.500 0.500 0.016
Sr 0.000 0.000 0.701


Below is a relaxed structure of SrCa2In2, with properties calculated at the GGA-PBEsol level.

- Formation enthalpy at 0 K: -390 meV/atom
- DFT total energy: -2.804 eV/atom
- DOS at the Fermi energy: 0.67 states/eV/atom

abc: 4.079 8.877 8.877
angles: 90.00 90.00 90.00
Fractional positions:
In 0.000 0.624 0.124
In 0.000 0.876 0.624
In 0.000 0.376 0.876
In 0.000 0.124 0.376
Ca 0.500 0.670 0.830
Ca 0.500 0.170 0.670
Ca 0.500 0.830 0.330
Ca 0.500 0.330 0.170
Sr 0.000 0.000 0.000
Sr 0.000 0.500 0.500


Below is a relaxed structure of Ca2TaIn, with properties calculated at the GGA-PBEsol level.

- Formation enthalpy at 0 K: 352 meV/atom
- DFT total energy: -4.598 eV/atom
- DOS at the Fermi energy: 0.94 states/eV/atom

abc: 3.254 3.254 10.923
angles: 81.43 81.43 60.00
Fractional positions:
Ca 0.253 0.253 0.242
Ca 0.747 0.747 0.758
Ta 0.000 0.000 0.000
In 0.500 0.500 0.500


Below is a relaxed structure of Ca2TaIn, with properties calculated at the GGA-PBEsol level.

- Formation enthalpy at 0 K: 416 meV/atom
- DFT total energy: -4.534 eV/atom
- DOS at the Fermi energy: 0.83 states/eV/atom

abc: 4.408 4.408 5.850
angles: 112.13 112.13 90.00
Each line ends with the local moment (μB).
Fractional positions:
Ca 0.750 0.250 0.500  0.07
Ca 0.250 0.750 0.500  0.07
In 0.500 0.500 0.000  -0.04
Ta 0.000 0.000 0.000  0.72


Below is a relaxed structure of CaTa2In, with properties calculated at the GGA-PBEsol level.

- Formation enthalpy at 0 K: 158 meV/atom
- DFT total energy: -7.396 eV/atom
- DOS at the Fermi energy: 0.71 states/eV/atom

abc: 3.485 3.485 7.282
angles: 90.00 90.00 90.00
Fractional positions:
Ta 0.000 0.000 0.032
Ta 0.500 0.500 0.191
In 0.500 0.500 0.784
Ca 0.000 0.000 0.492


Below is a relaxed structure of CaTa2In, with properties calculated at the GGA-PBEsol level.

- Formation enthalpy at 0 K: 227 meV/atom
- DFT total energy: -7.328 eV/atom
- DOS at the Fermi energy: 1.00 states/eV/atom

abc: 2.956 2.956 9.788
angles: 90.00 90.00 103.01
Fractional positions:
Ta 0.000 0.000 0.993
Ta 0.500 0.500 0.776
Ca 0.000 0.000 0.500
In 0.500 0.500 0.232


Below is a relaxed structure of Ca2TaIn, with properties calculated at the GGA-PBEsol level.

- Formation enthalpy at 0 K: 388 meV/atom
- DFT total energy: -4.562 eV/atom
- DOS at the Fermi energy: 1.02 states/eV/atom

abc: 3.074 5.989 5.989
angles: 118.19 90.37 90.37
Fractional positions:
Ca 0.000 0.500 0.000
Ca 0.000 0.000 0.500
In 0.500 0.500 0.500
Ta 0.500 0.000 0.000


Below is a relaxed structure of CaTa4In, with properties calculated at the GGA-PBEsol level.

- Formation enthalpy at 0 K: 424 meV/atom
- DFT total energy: -8.796 eV/atom
- DOS at the Fermi energy: 0.86 states/eV/atom

abc: 5.586 5.586 5.586
angles: 60.00 60.00 60.00
Fractional positions:
Ta 0.868 0.377 0.377
Ta 0.377 0.377 0.377
Ta 0.377 0.377 0.868
Ta 0.377 0.868 0.377
In 0.000 0.000 0.000
Ca 0.750 0.750 0.750


Below is a relaxed structure of CaTaIn, with properties calculated at the GGA-PBEsol level.

- Formation enthalpy at 0 K: 1072 meV/atom
- DFT total energy: -4.817 eV/atom
- DOS at the Fermi energy: 1.40 states/eV/atom

abc: 4.851 4.851 4.851
angles: 60.00 60.00 60.00
Each line ends with the local moment (μB).
Fractional positions:
Ca 0.000 0.000 0.000  0.13
Ta 0.250 0.250 0.250  1.27
In 0.500 0.500 0.500  -0.06


Below is a relaxed structure of Ca2InTc, with properties calculated at the GGA-PBEsol level.

- Formation enthalpy at 0 K: 287 meV/atom
- DFT total energy: -4.342 eV/atom
- DOS at the Fermi energy: 1.13 states/eV/atom

abc: 3.819 4.567 6.100
angles: 90.00 108.24 90.00
Each line ends with the local moment (μB).
Fractional positions:
Tc 0.565 0.500 0.130  0.51
Ca 0.278 0.500 0.556  -0.01
Ca 0.975 0.000 0.950  -0.01
In 0.686 0.000 0.372  -0.02


Below is a relaxed structure of Ca2InTc, with properties calculated at the GGA-PBEsol level.

- Formation enthalpy at 0 K: 401 meV/atom
- DFT total energy: -4.228 eV/atom
- DOS at the Fermi energy: 1.29 states/eV/atom

abc: 3.472 5.186 5.186
angles: 90.00 90.00 90.00
Each line ends with the local moment (μB).
Fractional positions:
Ca 0.000 0.500 0.000  0.00
Ca 0.000 0.000 0.500  0.00
Tc 0.500 0.000 0.000  1.37
In 0.500 0.500 0.500  -0.02


Below is a relaxed structure of Ca3InTc, with properties calculated at the GGA-PBEsol level.

- Formation enthalpy at 0 K: 492 meV/atom
- DFT total energy: -3.638 eV/atom
- DOS at the Fermi energy: 0.89 states/eV/atom

abc: 5.339 5.339 5.339
angles: 90.00 90.00 90.00
Each line ends with the local moment (μB).
Fractional positions:
Ca 0.500 0.000 0.000  0.01
Ca 0.000 0.500 0.000  0.01
Ca 0.000 0.000 0.500  0.01
Tc 0.000 0.000 0.000  0.72
In 0.500 0.500 0.500  -0.01


Below is a relaxed structure of Ca4InTc, with properties calculated at the GGA-PBEsol level.

- Formation enthalpy at 0 K: 854 meV/atom
- DFT total energy: -2.943 eV/atom
- DOS at the Fermi energy: 1.66 states/eV/atom

abc: 6.074 6.074 6.074
angles: 60.00 60.00 60.00
Each line ends with the local moment (μB).
Fractional positions:
Ca 0.374 0.374 0.374  -0.02
Ca 0.374 0.374 0.878  -0.02
Ca 0.878 0.374 0.374  -0.02
Ca 0.374 0.878 0.374  -0.02
Tc 0.000 0.000 0.000  1.64
In 0.750 0.750 0.750  -0.01


Below is a relaxed structure of CaTlIn2, with properties calculated at the GGA-PBEsol level.

- Formation enthalpy at 0 K: -297 meV/atom
- DFT total energy: -2.979 eV/atom
- DOS at the Fermi energy: 0.47 states/eV/atom

abc: 4.675 4.675 5.768
angles: 113.91 113.91 90.00
Fractional positions:
Ca 0.250 0.750 0.500
In 0.000 0.000 0.000
In 0.750 0.250 0.500
Tl 0.500 0.500 0.000


Below is a relaxed structure of CaTlIn, with properties calculated at the GGA-PBEsol level.

- Formation enthalpy at 0 K: -370 meV/atom
- DFT total energy: -2.952 eV/atom
- DOS at the Fermi energy: 0.39 states/eV/atom

abc: 3.705 5.002 5.002
angles: 120.00 90.00 90.00
Fractional positions:
In 0.581 0.333 0.667
Tl 0.410 0.667 0.333
Ca 0.009 0.000 0.000


Below is a relaxed structure of Ca2Tl2In, with properties calculated at the GGA-PBEsol level.

- Formation enthalpy at 0 K: -360 meV/atom
- DFT total energy: -2.862 eV/atom
- Relative energy among the computed polymorphs: 0 meV/atom
- DOS at the Fermi energy: 0.66 states/eV/atom

abc: 4.078 8.272 8.272
angles: 90.00 90.00 90.00
Fractional positions:
Tl 0.000 0.631 0.131
Tl 0.000 0.369 0.869
Tl 0.000 0.131 0.369
Tl 0.000 0.869 0.631
In 0.000 0.000 0.000
In 0.000 0.500 0.500
Ca 0.500 0.330 0.170
Ca 0.500 0.830 0.330
Ca 0.500 0.170 0.670
Ca 0.500 0.670 0.830


Below is a relaxed structure of CaTlIn2, with properties calculated at the GGA-PBEsol level.

- Formation enthalpy at 0 K: -307 meV/atom
- DFT total energy: -2.989 eV/atom
- DOS at the Fermi energy: 0.54 states/eV/atom

abc: 4.563 4.563 5.917
angles: 112.68 112.68 90.00
Fractional positions:
Tl 0.000 0.500 0.000
In 0.750 0.750 0.500
In 0.250 0.250 0.500
Ca 0.500 0.000 0.000


Below is a relaxed structure of CaTlIn, with properties calculated at the GGA-PBEsol level.

- Formation enthalpy at 0 K: -317 meV/atom
- DFT total energy: -2.899 eV/atom
- DOS at the Fermi energy: 0.46 states/eV/atom

abc: 3.763 3.763 6.320
angles: 107.32 107.32 90.00
Fractional positions:
In 0.323 0.323 0.645
Tl 0.677 0.677 0.354
Ca 0.000 0.000 0.001


| no. | total magnetic moment (μB per atom) |
| --- | --- |
| 1 | 0.000 |
| 2 | 0.000 |
| 3 | 0.000 |
| 4 | 0.000 |
| 5 | 0.000 |
| 6 | 0.000 |
| 7 | 0.000 |
| 8 | 0.000 |
| 9 | 0.000 |
| 10 | 0.000 |
| 11 | 0.000 |
| 12 | 0.000 |
| 13 | 0.000 |
| 14 | 0.000 |
| 15 | 0.000 |
| 16 | 0.358 |
| 17 | 0.000 |
| 18 | 0.000 |
| 19 | 0.000 |
| 20 | 0.000 |
| 21 | 0.669 |
| 22 | 0.118 |
| 23 | 0.376 |
| 24 | 0.155 |
| 25 | 0.288 |
| 26 | 0.000 |
| 27 | 0.000 |
| 28 | 0.000 |
| 29 | 0.000 |
| 30 | 0.000 |